Entry from Alexandria: a geometry-optimized Nd5Sm12Hf3 structure (PBE).

a b c (Å): 18.2683 18.2683 18.2683
angles (deg): 90.00 90.00 90.00
Last column: nearest neighbours and their distance in Å.
Space group Ia-3d (No. 230)
One atom of each set of equivalent atoms:
Nd: 0.0000 0.0000 0.0000  6 Sm 3.18
Nd: 0.0000 0.2500 0.3750  4 Sm 3.20
Sm: 0.0118 0.0883 0.6497  1 Hf 3.00, 2 Nd 3.18-3.20, 1 Sm 3.19
Hf: 0.0000 0.2500 0.1250  4 Sm 3.00

Output
The calculation puts the formation enthalpy at 0 K at 1.025 eV per atom. The volume comes out at 6096.7 Å³/cell. The calculation puts the theoretical density at 6.7 g cm⁻³.